# Sr5Sb2P PBE optimized geometry
# Mass density in g/cm3: 4.234
# Raw formation energy in eV/atom: -1.02
# Total magnetic moment in μB per atom: 0.125
# DOS at the Fermi energy in states/eV/cell: 4.86
# Raw total energy in eV/atom: -3.78
data_Sr5Sb2P
_chemical_formula_sum 'Sr20 Sb8 P4'
_space_group_name_H-M_alt 'P 1'
_space_group_IT_number 1
_cell_length_a 8.6378
_cell_length_b 9.8093
_cell_length_c 13.1941
_cell_angle_alpha 90.00
_cell_angle_beta 90.00
_cell_angle_gamma 90.00
loop_
_space_group_symop_operation_xyz
'x,y,z'
loop_
_atom_site_label
_atom_site_type_symbol
_atom_site_fract_x
_atom_site_fract_y
_atom_site_fract_z
Sr1 Sr 0.0441 0.2500 0.4986
Sr2 Sr 0.4559 0.2500 0.9986
Sr3 Sr 0.6640 0.7500 0.7115
Sr4 Sr 0.8172 0.4658 0.9252
Sr5 Sr 0.8618 0.2500 0.1994
Sr6 Sr 0.3172 0.5342 0.5748
Sr7 Sr 0.8172 0.0342 0.9252
Sr8 Sr 0.1382 0.7500 0.8006
Sr9 Sr 0.3360 0.2500 0.2885
Sr10 Sr 0.5441 0.7500 0.0014
Sr11 Sr 0.9559 0.7500 0.5014
Sr12 Sr 0.1828 0.9658 0.0748
Sr13 Sr 0.3618 0.7500 0.3006
Sr14 Sr 0.6828 0.0342 0.4252
Sr15 Sr 0.3172 0.9658 0.5748
Sr16 Sr 0.1640 0.2500 0.7885
Sr17 Sr 0.6382 0.2500 0.6994
Sr18 Sr 0.6828 0.4658 0.4252
Sr19 Sr 0.1828 0.5342 0.0748
Sr20 Sr 0.8360 0.7500 0.2115
P1 P 0.4274 0.2500 0.5130
P2 P 0.0726 0.2500 0.0130
P3 P 0.9274 0.7500 0.9870
P4 P 0.5726 0.7500 0.4870
Sb1 Sb 0.5660 0.0094 0.1715
Sb2 Sb 0.9340 0.4906 0.6715
Sb3 Sb 0.9340 0.0094 0.6715
Sb4 Sb 0.4340 0.5094 0.8285
Sb5 Sb 0.5660 0.4906 0.1715
Sb6 Sb 0.4340 0.9906 0.8285
Sb7 Sb 0.0660 0.5094 0.3285
Sb8 Sb 0.0660 0.9906 0.3285


# SrSbP2 PBE optimized geometry
# Mass density in g/cm3: 4.862
# Raw formation energy in eV/atom: -0.25
# Total magnetic moment in μB per atom: 0.000
# DOS at the Fermi energy in states/eV/cell: 1.98
# Raw total energy in eV/atom: -4.41
data_SrSbP2
_chemical_formula_sum 'Sr1 Sb1 P2'
_space_group_name_H-M_alt 'P 1'
_space_group_IT_number 1
_cell_length_a 5.8968
_cell_length_b 5.8968
_cell_length_c 5.8968
_cell_angle_alpha 145.77
_cell_angle_beta 125.54
_cell_angle_gamma 65.92
loop_
_space_group_symop_operation_xyz
'x,y,z'
loop_
_atom_site_label
_atom_site_type_symbol
_atom_site_fract_x
_atom_site_fract_y
_atom_site_fract_z
P1 P 0.9464 0.9464 0.0000
P2 P 0.7882 0.2882 0.5000
Sb1 Sb 0.5304 0.5304 0.0000
Sr1 Sr 0.2350 0.7350 0.5000


# SrSb2P PBE optimized geometry
# Mass density in g/cm3: 5.680
# Raw formation energy in eV/atom: -0.25
# Total magnetic moment in μB per atom: 0.000
# DOS at the Fermi energy in states/eV/cell: 2.86
# Raw total energy in eV/atom: -4.09
data_SrSb2P
_chemical_formula_sum 'Sr1 Sb2 P1'
_space_group_name_H-M_alt 'P 1'
_space_group_IT_number 1
_cell_length_a 4.4819
_cell_length_b 4.4819
_cell_length_c 5.2704
_cell_angle_alpha 90.00
_cell_angle_beta 90.00
_cell_angle_gamma 90.00
loop_
_space_group_symop_operation_xyz
'x,y,z'
loop_
_atom_site_label
_atom_site_type_symbol
_atom_site_fract_x
_atom_site_fract_y
_atom_site_fract_z
Sb1 Sb 0.0000 0.5000 0.0000
Sb2 Sb 0.5000 0.0000 0.0000
P1 P 0.0000 0.0000 0.5000
Sr1 Sr 0.5000 0.5000 0.5000


# SrSbP2 PBE optimized geometry
# Mass density in g/cm3: 3.849
# Raw formation energy in eV/atom: -0.23
# Total magnetic moment in μB per atom: 0.000
# DOS at the Fermi energy in states/eV/cell: 9.90
# Raw total energy in eV/atom: -4.39
data_SrSbP2
_chemical_formula_sum 'Sr2 Sb2 P4'
_space_group_name_H-M_alt 'P 1'
_space_group_IT_number 1
_cell_length_a 7.3417
_cell_length_b 7.3417
_cell_length_c 6.7684
_cell_angle_alpha 57.16
_cell_angle_beta 57.16
_cell_angle_gamma 90.00
loop_
_space_group_symop_operation_xyz
'x,y,z'
loop_
_atom_site_label
_atom_site_type_symbol
_atom_site_fract_x
_atom_site_fract_y
_atom_site_fract_z
Sb1 Sb 0.0000 0.0000 0.0000
Sb2 Sb 0.7500 0.2500 0.5000
P1 P 0.3750 0.3255 0.7500
P2 P 0.6745 0.1250 0.2500
P3 P 0.0755 0.6250 0.2500
P4 P 0.8750 0.9245 0.7500
Sr1 Sr 0.5000 0.5000 0.0000
Sr2 Sr 0.2500 0.7500 0.5000